Sr2Co2PdO6 PBE with a Hubbard U optimized geometry; calculated total energy = -5.815 eV/atom; total magnetization = 6.02 μB per cell
1.0
2.912 1.681 5.402
-2.912 1.681 5.402
0.000 -3.362 5.402
Sr Co Pd O
2 2 1 6
Cartesian
0.000 0.000 3.420
0.000 0.000 12.786
0.000 0.000 6.705
0.000 0.000 9.500
0.000 0.000 0.000
-1.538 -0.888 9.400
0.000 -1.776 6.805
-1.538 0.888 6.805
1.538 -0.888 9.400
0.000 1.776 9.400
1.538 0.888 6.805